# 1
! P2IrBr PBE optimized geometry; values from VASP
! Polymorph energy (0 for the lowest one) (meV/atom): 1171
! E (eV for the cell shown): -17.5
! Calculated density (kg/m³): 8662
! Symmetry: F-43m (216)
! E_form (uncorrected) (eV per formula unit): 3.86
&SYSTEM
  ibrav = 0, nat = 4, ntyp = 3
/
ATOMIC_SPECIES
P 30.97 P.upf
Br 79.90 Br.upf
Ir 192.22 Ir.upf
ATOMIC_POSITIONS angstrom
P 2.245 1.296 0.917
P 0.000 0.000 0.000
Br 4.491 2.593 1.833
Ir 6.736 3.889 2.750
CELL_PARAMETERS angstrom
4.491 0.000 0.000
2.245 3.889 0.000
2.245 1.296 3.667

***

# 2
! PIr2Br PBE optimized geometry; values from VASP
! Polymorph energy (0 for the lowest one) (meV/atom): 856
! E (eV for the cell shown): -20.9
! Calculated density (kg/m³): 13050
! Symmetry: I-4m2 (119)
! E_form (uncorrected) (eV per formula unit): 3.93
&SYSTEM
  ibrav = 0, nat = 4, ntyp = 3
/
ATOMIC_SPECIES
Ir 192.22 Ir.upf
P 30.97 P.upf
Br 79.90 Br.upf
ATOMIC_POSITIONS angstrom
Ir 1.316 2.276 1.315
Ir 0.000 0.000 0.000
P 3.945 2.273 0.000
Br 2.629 -0.004 1.315
CELL_PARAMETERS angstrom
5.258 -0.007 0.000
2.631 4.552 0.000
-3.945 -2.273 2.631

***

# 3
! P3IrBr PBE optimized geometry; values from VASP
! Polymorph energy (0 for the lowest one) (meV/atom): 0
! E (eV for the cell shown): -23.1
! Calculated density (kg/m³): 5856
! Symmetry: Pm-3m (221)
! E_form (uncorrected) (eV per formula unit): 3.68
&SYSTEM
  ibrav = 0, nat = 5, ntyp = 3
/
ATOMIC_SPECIES
Ir 192.22 Ir.upf
P 30.97 P.upf
Br 79.90 Br.upf
ATOMIC_POSITIONS angstrom
Ir 0.000 0.000 0.000
P 0.000 0.000 2.348
P 0.000 2.348 0.000
P 2.348 0.000 0.000
Br 2.348 2.348 2.348
CELL_PARAMETERS angstrom
4.695 0.000 0.000
0.000 4.695 0.000
0.000 0.000 4.695

***

# 4
! PIr2Br PBE optimized geometry; values from VASP
! Polymorph energy (0 for the lowest one) (meV/atom): 721
! E (eV for the cell shown): -21.4
! Calculated density (kg/m³): 12853
! Symmetry: C2/m (12)
! E_form (uncorrected) (eV per formula unit): 3.39
&SYSTEM
  ibrav = 0, nat = 4, ntyp = 3
/
ATOMIC_SPECIES
Ir 192.22 Ir.upf
P 30.97 P.upf
Br 79.90 Br.upf
ATOMIC_POSITIONS angstrom
Ir -2.670 -0.418 -1.034
Ir 0.000 0.000 0.000
P -2.043 1.987 -1.792
Br -2.924 -0.636 1.543
CELL_PARAMETERS angstrom
-1.789 2.205 -4.369
-3.551 -3.041 2.301
-2.298 1.769 0.784

***

# 5
! P2IrBr PBE optimized geometry; values from VASP
! Polymorph energy (0 for the lowest one) (meV/atom): 315
! E (eV for the cell shown): -20.9
! Calculated density (kg/m³): 6570
! Symmetry: Imm2 (44)
! E_form (uncorrected) (eV per formula unit): 0.43
&SYSTEM
  ibrav = 0, nat = 4, ntyp = 3
/
ATOMIC_SPECIES
P 30.97 P.upf
Br 79.90 Br.upf
Ir 192.22 Ir.upf
ATOMIC_POSITIONS angstrom
P 1.521 0.573 0.000
P 3.247 -0.242 1.248
Br 5.187 1.954 0.000
Ir 2.773 2.257 1.246
CELL_PARAMETERS angstrom
7.206 0.037 0.001
5.440 4.726 -0.001
-6.240 -2.603 2.494

***

# 6
! PIrBr4 PBE optimized geometry; values from VASP
! E (eV for the cell shown): -10.2
! Calculated density (kg/m³): 5824
! Symmetry: F-43m (216)
! E_form (uncorrected) (eV per formula unit): 10.72
&SYSTEM
  ibrav = 0, nat = 6, ntyp = 3
/
ATOMIC_SPECIES
Br 79.90 Br.upf
Ir 192.22 Ir.upf
P 30.97 P.upf
ATOMIC_POSITIONS angstrom
Br 5.321 3.202 5.321
Br 5.321 5.321 3.202
Br 3.202 3.202 3.202
Br 3.202 5.321 5.321
Ir 6.392 6.392 6.392
P 0.000 0.000 0.000
CELL_PARAMETERS angstrom
0.000 4.261 4.261
4.261 0.000 4.261
4.261 4.261 0.000

***

# 7
! PIr2Br PBE optimized geometry; values from VASP
! Polymorph energy (0 for the lowest one) (meV/atom): 0
! E (eV for the cell shown): -24.3
! Calculated density (kg/m³): 11572
! Symmetry: C2/m (12)
! E_form (uncorrected) (eV per formula unit): 0.51
&SYSTEM
  ibrav = 0, nat = 4, ntyp = 3
/
ATOMIC_SPECIES
P 30.97 P.upf
Ir 192.22 Ir.upf
Br 79.90 Br.upf
ATOMIC_POSITIONS angstrom
P -4.125 4.445 4.913
Ir -1.633 0.898 5.543
Ir -2.780 2.877 3.803
Br -1.375 1.482 1.638
CELL_PARAMETERS angstrom
-0.442 3.641 0.499
-3.396 1.473 -0.020
-1.662 0.812 6.072

***

# 8
! PIrBr3 PBE optimized geometry; values from VASP
! Polymorph energy (0 for the lowest one) (meV/atom): 407
! E (eV for the cell shown): -13.3
! Calculated density (kg/m³): 5857
! Symmetry: Pm-3m (221)
! E_form (uncorrected) (eV per formula unit): 5.97
&SYSTEM
  ibrav = 0, nat = 5, ntyp = 3
/
ATOMIC_SPECIES
Ir 192.22 Ir.upf
Br 79.90 Br.upf
P 30.97 P.upf
ATOMIC_POSITIONS angstrom
Ir -2.277 -3.412 -1.595
Br -1.059 -1.839 1.398
Br 0.906 -1.745 -1.609
Br -2.124 0.172 -1.384
P 0.000 0.000 0.000
CELL_PARAMETERS angstrom
-4.249 0.344 -2.767
1.813 -3.491 -3.218
-2.119 -3.677 2.796

***

# 9
! PIr2Br PBE optimized geometry; values from VASP
! Polymorph energy (0 for the lowest one) (meV/atom): 758
! E (eV for the cell shown): -21.3
! Calculated density (kg/m³): 13246
! Symmetry: P4/mmm (123)
! E_form (uncorrected) (eV per formula unit): 3.54
&SYSTEM
  ibrav = 0, nat = 4, ntyp = 3
/
ATOMIC_SPECIES
Br 79.90 Br.upf
P 30.97 P.upf
Ir 192.22 Ir.upf
ATOMIC_POSITIONS angstrom
Br -2.705 -0.110 -0.329
P -0.702 -0.584 -2.570
Ir 0.000 0.000 0.000
Ir -1.511 -2.512 -0.819
CELL_PARAMETERS angstrom
-1.897 1.819 -2.081
0.493 -2.987 -3.060
-3.514 -2.038 1.422

***

# 10
! P2IrBr PBE optimized geometry; values from VASP
! Polymorph energy (0 for the lowest one) (meV/atom): 468
! E (eV for the cell shown): -20.3
! Calculated density (kg/m³): 6635
! Symmetry: P4/mmm (123)
! E_form (uncorrected) (eV per formula unit): 1.04
&SYSTEM
  ibrav = 0, nat = 4, ntyp = 3
/
ATOMIC_SPECIES
Br 79.90 Br.upf
Ir 192.22 Ir.upf
P 30.97 P.upf
ATOMIC_POSITIONS angstrom
Br 1.567 1.567 2.128
Ir 1.567 1.567 6.385
P 0.000 0.000 7.614
P 0.000 0.000 5.156
CELL_PARAMETERS angstrom
3.134 0.000 0.000
0.000 3.134 0.000
0.000 0.000 8.514

***

# 11
! PIr2Br PBE optimized geometry; values from VASP
! Polymorph energy (0 for the lowest one) (meV/atom): 455
! E (eV for the cell shown): -22.5
! Calculated density (kg/m³): 11302
! Symmetry: Immm (71)
! E_form (uncorrected) (eV per formula unit): 2.33
&SYSTEM
  ibrav = 0, nat = 4, ntyp = 3
/
ATOMIC_SPECIES
Ir 192.22 Ir.upf
Br 79.90 Br.upf
P 30.97 P.upf
ATOMIC_POSITIONS angstrom
Ir -7.868 -0.493 0.804
Ir -4.396 -0.276 0.449
Br -1.978 0.729 1.377
P -2.380 2.322 -1.570
CELL_PARAMETERS angstrom
-4.489 1.337 -2.529
-3.687 -1.849 3.365
3.818 3.564 -1.029

***

# 12
! P2IrBr PBE optimized geometry; values from VASP
! Polymorph energy (0 for the lowest one) (meV/atom): 285
! E (eV for the cell shown): -42.1
! Calculated density (kg/m³): 5660
! Symmetry: I-42d (122)
! E_form (uncorrected) (eV per formula unit): 0.31
&SYSTEM
  ibrav = 0, nat = 8, ntyp = 3
/
ATOMIC_SPECIES
Br 79.90 Br.upf
P 30.97 P.upf
Ir 192.22 Ir.upf
ATOMIC_POSITIONS angstrom
Br 1.048 -6.019 -4.100
Br -1.251 -2.916 -2.988
P -0.586 -6.982 -1.862
P 1.649 -3.284 -3.228
P -3.126 -4.442 -1.328
P -1.344 -10.365 -5.829
Ir 0.000 0.000 0.000
Ir -2.752 -6.517 -2.024
CELL_PARAMETERS angstrom
-5.050 -3.413 -0.912
2.549 -2.418 -5.064
0.798 -6.705 -0.148

***

# 13
! PIrBr PBE optimized geometry; values from VASP
! Polymorph energy (0 for the lowest one) (meV/atom): 1277
! E (eV for the cell shown): -12.6
! Calculated density (kg/m³): 8736
! Symmetry: F-43m (216)
! E_form (uncorrected) (eV per formula unit): 3.38
&SYSTEM
  ibrav = 0, nat = 3, ntyp = 3
/
ATOMIC_SPECIES
P 30.97 P.upf
Ir 192.22 Ir.upf
Br 79.90 Br.upf
ATOMIC_POSITIONS angstrom
P 6.503 3.754 2.655
Ir 4.335 2.503 1.770
Br 0.000 0.000 0.000
CELL_PARAMETERS angstrom
4.335 0.000 0.000
2.168 3.754 0.000
2.168 1.251 3.540

***

# 14
! PIrBr PBE optimized geometry; values from VASP
! Polymorph energy (0 for the lowest one) (meV/atom): 247
! E (eV for the cell shown): -15.7
! Calculated density (kg/m³): 8413
! Symmetry: Imm2 (44)
! E_form (uncorrected) (eV per formula unit): 0.29
&SYSTEM
  ibrav = 0, nat = 3, ntyp = 3
/
ATOMIC_SPECIES
P 30.97 P.upf
Ir 192.22 Ir.upf
Br 79.90 Br.upf
ATOMIC_POSITIONS angstrom
P -3.544 -3.800 7.394
Ir -1.010 -1.083 2.107
Br -4.496 -4.821 9.381
CELL_PARAMETERS angstrom
-1.758 -0.549 5.927
-2.767 -4.303 3.514
4.217 1.291 -4.367

***

# 15
! PIrBr PBE optimized geometry; values from VASP
! Polymorph energy (0 for the lowest one) (meV/atom): 0
! E (eV for the cell shown): -16.4
! Calculated density (kg/m³): 7952
! Symmetry: P3m1 (156)
! E_form (uncorrected) (eV per formula unit): -0.45
&SYSTEM
  ibrav = 0, nat = 3, ntyp = 3
/
ATOMIC_SPECIES
Br 79.90 Br.upf
Ir 192.22 Ir.upf
P 30.97 P.upf
ATOMIC_POSITIONS angstrom
Br 0.000 0.000 0.365
Ir 1.785 1.030 2.179
P 0.000 2.061 3.192
CELL_PARAMETERS angstrom
3.570 0.000 0.000
-1.785 3.091 0.000
0.000 0.000 5.736

***

# 16
! P2IrBr PBE optimized geometry; values from VASP
! Polymorph energy (0 for the lowest one) (meV/atom): 1154
! E (eV for the cell shown): -17.6
! Calculated density (kg/m³): 8685
! Symmetry: Pmmm (47)
! E_form (uncorrected) (eV per formula unit): 3.79
&SYSTEM
  ibrav = 0, nat = 4, ntyp = 3
/
ATOMIC_SPECIES
P 30.97 P.upf
Br 79.90 Br.upf
Ir 192.22 Ir.upf
ATOMIC_POSITIONS angstrom
P 0.000 0.000 0.000
P -0.615 -0.675 -2.535
Br -2.337 1.379 -0.717
Ir -2.837 -1.261 -0.923
CELL_PARAMETERS angstrom
-0.116 1.965 -2.330
-1.114 -3.315 -2.741
-4.559 0.792 0.895

***

# 17
! Pm6PIr2Br3 PBE optimized geometry; values from VASP
! E (eV for the cell shown): -71.1
! Calculated density (kg/m³): 7347
! Symmetry: C2/m (12)
! E_form (uncorrected) (eV per formula unit): -14.45
&SYSTEM
  ibrav = 0, nat = 12, ntyp = 4
/
ATOMIC_SPECIES
P 30.97 P.upf
Pm 145.00 Pm.upf
Br 79.90 Br.upf
Ir 192.22 Ir.upf
ATOMIC_POSITIONS angstrom
P 0.000 0.000 0.000
Pm 3.655 2.042 6.123
Pm -1.237 2.144 1.499
Pm 0.040 0.070 6.119
Pm 2.476 0.000 1.499
Pm 2.377 4.117 1.503
Pm -0.058 4.186 6.123
Br 1.209 2.093 3.811
Br 4.871 -0.022 3.811
Br -2.453 4.208 3.811
Ir -0.002 4.177 0.007
Ir 3.619 2.086 0.007
CELL_PARAMETERS angstrom
7.230 0.000 0.007
-3.613 6.263 0.007
-1.199 -2.077 7.608

***

# 18
! Pm8P3IrBr4 PBE optimized geometry; values from VASP
! E (eV for the cell shown): -91.6
! Calculated density (kg/m³): 6711
! Symmetry: R-3m (166)
! E_form (uncorrected) (eV per formula unit): -21.82
&SYSTEM
  ibrav = 0, nat = 16, ntyp = 4
/
ATOMIC_SPECIES
Pm 145.00 Pm.upf
Br 79.90 Br.upf
Ir 192.22 Ir.upf
P 30.97 P.upf
ATOMIC_POSITIONS angstrom
Pm 2.121 2.053 5.902
Pm 6.296 2.462 0.240
Pm 2.054 2.462 0.240
Pm 4.175 4.158 2.938
Pm 4.175 0.342 3.240
Pm -2.121 2.053 5.902
Pm 0.000 4.173 2.902
Pm 0.000 0.356 3.203
Br 2.088 -2.087 2.953
Br 4.175 0.000 0.000
Br -2.088 -2.087 2.953
Br 0.000 0.000 0.000
Ir 0.000 4.344 0.118
P -2.088 2.257 3.071
P 4.175 4.344 0.118
P 2.088 2.257 3.071
CELL_PARAMETERS angstrom
8.350 0.000 0.000
0.000 8.688 0.236
-4.175 -4.174 5.906

***

# 19
! Pm4PIrBr2 PBE optimized geometry; values from VASP
! E (eV for the cell shown): -46.6
! Calculated density (kg/m³): 7081
! Symmetry: P2/m (10)
! E_form (uncorrected) (eV per formula unit): -9.97
&SYSTEM
  ibrav = 0, nat = 8, ntyp = 4
/
ATOMIC_SPECIES
Ir 192.22 Ir.upf
Pm 145.00 Pm.upf
P 30.97 P.upf
Br 79.90 Br.upf
ATOMIC_POSITIONS angstrom
Ir -3.727 -0.306 2.043
Pm -2.541 0.321 4.475
Pm 0.411 5.578 2.054
Pm -3.262 5.263 4.003
Pm -2.271 1.624 0.523
P 0.000 0.000 0.000
Br -1.065 2.950 3.265
Br -0.742 4.244 -0.782
CELL_PARAMETERS angstrom
-3.403 0.989 -2.003
-4.050 -1.601 6.089
1.920 7.500 0.440

***

# 20
! Pm8PIr3Br4 PBE optimized geometry; values from VASP
! E (eV for the cell shown): -95.2
! Calculated density (kg/m³): 7516
! Symmetry: R-3m (166)
! E_form (uncorrected) (eV per formula unit): -18.54
&SYSTEM
  ibrav = 0, nat = 16, ntyp = 4
/
ATOMIC_SPECIES
Br 79.90 Br.upf
Pm 145.00 Pm.upf
P 30.97 P.upf
Ir 192.22 Ir.upf
ATOMIC_POSITIONS angstrom
Br 2.089 -2.088 2.954
Br 4.177 0.000 0.000
Br -2.089 -2.088 2.954
Br 0.000 0.000 0.000
Pm 4.177 4.337 3.065
Pm 4.177 0.546 3.255
Pm 0.000 4.293 3.117
Pm 6.207 2.575 0.384
Pm 0.000 0.502 3.307
Pm 2.148 2.575 0.384
Pm 2.029 2.264 5.987
Pm -2.029 2.264 5.987
P 0.000 4.507 0.231
Ir -2.089 2.419 3.186
Ir 4.177 4.507 0.231
Ir 2.089 2.419 3.186
CELL_PARAMETERS angstrom
8.355 0.000 0.000
0.000 9.014 0.462
-4.177 -4.175 5.909